First-principles (GGA-PBE) data for a relaxed structure of LiLaNd, as listed in OQMD.

Structure (CIF):
```
data_LiLaNd
_chemical_formula_sum 'Li4 La4 Nd4'
_cell_length_a 7.347
_cell_length_b 7.347
_cell_length_c 7.347
_cell_angle_alpha 90.00
_cell_angle_beta 90.00
_cell_angle_gamma 90.00
_symmetry_space_group_name_H-M 'F -4 3 m'
_symmetry_Int_Tables_number 216
_symmetry_space_group_name_Hall 'F -4 2 3'
loop_
_atom_site_label
_atom_site_type_symbol
_atom_site_fract_x
_atom_site_fract_y
_atom_site_fract_z
_atom_site_occupancy
Li1 Li 0.000 0.000 0.000 1
La1 La 0.250 0.250 0.750 1
Nd1 Nd 0.250 0.250 0.250 1
```

Output
Calculated total energy = -3.4203 eV/atom
Distance to the lowest polymorph of the same formula = 0 meV/atom